Na3BiPd3O8 | PBE | relaxed

The structure in CIF format:
```
data_Na3BiPd3O8
_chemical_formula_sum 'Na3 Bi1 Pd3 O8'
_symmetry_space_group_name_H-M 'P 1'
_symmetry_Int_Tables_number 1
_cell_length_a 6.917
_cell_length_b 6.917
_cell_length_c 6.349
_cell_angle_alpha 115.40
_cell_angle_beta 115.40
_cell_angle_gamma 52.68
loop_
_symmetry_equiv_pos_as_xyz
'x,y,z'
loop_
_atom_site_label
_atom_site_type_symbol
_atom_site_fract_x
_atom_site_fract_y
_atom_site_fract_z
Na1 Na 0.000 0.000 0.000
Na2 Na 0.000 0.500 0.500
Na3 Na 0.500 0.000 0.500
Bi1 Bi 0.000 0.000 0.500
Pd1 Pd 0.000 0.500 0.000
Pd2 Pd 0.500 0.000 0.000
Pd3 Pd 0.500 0.500 0.500
O1 O 0.202 0.202 0.755
O2 O 0.222 0.706 0.682
O3 O 0.294 0.778 0.318
O4 O 0.310 0.310 0.247
O5 O 0.690 0.690 0.753
O6 O 0.706 0.222 0.682
O7 O 0.778 0.294 0.318
O8 O 0.798 0.798 0.245
```

Output
Formation energy from raw total energies   -86.1 kJ per mole of atoms
Total DFT energy (no corrections)   -5.0981 eV/atom
Volume   14.14 Å³ per atom
Symmetry   C2/m, No. 12

Na4BiPd3O8 | PBE | relaxed

The structure in CIF format:
```
data_Na4BiPd3O8
_chemical_formula_sum 'Na4 Bi1 Pd3 O8'
_symmetry_space_group_name_H-M 'P 1'
_symmetry_Int_Tables_number 1
_cell_length_a 6.964
_cell_length_b 6.964
_cell_length_c 6.350
_cell_angle_alpha 113.44
_cell_angle_beta 113.44
_cell_angle_gamma 52.20
loop_
_symmetry_equiv_pos_as_xyz
'x,y,z'
loop_
_atom_site_label
_atom_site_type_symbol
_atom_site_fract_x
_atom_site_fract_y
_atom_site_fract_z
Na1 Na 0.000 0.000 0.000
Na2 Na 0.000 0.500 0.500
Na3 Na 0.500 0.000 0.500
Na4 Na 0.500 0.500 0.000
Bi1 Bi 0.000 0.000 0.500
Pd1 Pd 0.000 0.500 0.000
Pd2 Pd 0.500 0.000 0.000
Pd3 Pd 0.500 0.500 0.500
O1 O 0.200 0.200 0.747
O2 O 0.224 0.702 0.683
O3 O 0.231 0.231 0.184
O4 O 0.298 0.776 0.317
O5 O 0.702 0.224 0.683
O6 O 0.769 0.769 0.816
O7 O 0.776 0.298 0.317
O8 O 0.800 0.800 0.253
```

Output
Formation energy from raw total energies   -95.7 kJ per mole of atoms
Total DFT energy (no corrections)   -5.0166 eV/atom
Volume   13.64 Å³ per atom
Symmetry   C2/m, No. 12